No. 1
SrLaCl2 | PBE | relaxed

Computed properties:
Uncorrected formation energy: -5.74 eV per formula unit
Space-group type: P2/m
Mass density: 3.89 g cm⁻³

Cell: 4.726 3.989 6.768 Å, 95.18 90.00 90.00°
Sites, in units of the cell vectors:
La 0.500 0.250 0.250
Cl 0.000 0.052 0.998
Cl 0.000 0.448 0.502
Sr 0.500 0.750 0.750

=====

No. 2
YZnBi3 | PBE | relaxed

Computed properties:
Space-group type: Pm-3m
Mass density: 8.24 g cm⁻³

Cell: 5.399 5.399 5.399 Å, 90.00 90.00 90.00°
Sites, in units of the cell vectors:
Bi 0.500 0.000 0.000
Bi 0.000 0.000 0.500
Bi 0.000 0.500 0.000
Y 0.500 0.500 0.500
Zn 0.000 0.000 0.000

=====

No. 3
BaN2F2 | PBE | relaxed

Computed properties:
Uncorrected formation energy: -11.15 eV per formula unit
Space-group type: C2/m
Mass density: 2.80 g cm⁻³

Cell: 4.253 4.253 7.694 Å, 90.71 90.00 120.00°
Sites, in units of the cell vectors:
F 0.332 0.663 0.873
F 0.668 0.337 0.127
N 0.998 0.997 0.572
N 0.002 0.003 0.428
Ba 0.000 0.000 0.000

=====

No. 4
YHoSc | PBE | relaxed

Computed properties:
Space-group type: P-1
Mass density: 5.68 g cm⁻³

Cell: 3.466 5.992 9.107 Å, 76.91 78.99 73.16°
Sites, in units of the cell vectors:
Ho 0.567 0.434 0.308
Ho 0.569 0.907 0.833
Sc 0.898 0.931 0.150
Sc 0.238 0.410 0.992
Y 0.901 0.416 0.661
Y 0.235 0.926 0.481

=====

no.,uncorrected energy (eV/atom),total magnetic moment (μB/cell)
1,-4.0095,0.001
2,-3.6851,0.000
3,-6.6942,0.155
4,-5.7382,0.000